The following is a DFT calculation (SCAN) of a crystal of BeRhSe2N relaxed with PBEsol.

Properties
The total energy comes out at -16.996 eV/atom. The calculation puts the density at 7.0 Mg/m³. The magnetization comes out at 0.00 μB/f.u. The calculation puts the uncorrected formation energy at 2.6 eV per formula unit.

Cell lengths 3.0118, 4.7388, 4.7388 Å; angles 90.00, 90.00, 90.00 degrees
Sites, in units of the cell vectors:
Rh 0.5000 0.5000 0.5000
Se 0.0000 0.0000 0.5000
Se 0.0000 0.5000 0.0000
N 0.5000 0.0000 0.0000
Be 0.0000 0.0000 0.0000